Run w
VASP calculation (PBE-GGA) on a geometry-optimized CsNd4S6 structure.

Lattice parameters (Å, degrees): 7.201 7.201 22.021 90.00 90.00 146.68
Positions (direct):
Cs 0.149 0.851 0.750
Cs 0.851 0.149 0.250
Nd 0.103 0.897 0.133
Nd 0.103 0.897 0.367
Nd 0.370 0.630 0.041
Nd 0.370 0.630 0.459
Nd 0.630 0.370 0.541
Nd 0.630 0.370 0.959
Nd 0.897 0.103 0.633
Nd 0.897 0.103 0.867
S 0.000 0.000 0.000
S 0.000 0.000 0.500
S 0.154 0.846 0.250
S 0.270 0.730 0.578
S 0.270 0.730 0.922
S 0.470 0.530 0.147
S 0.470 0.530 0.353
S 0.530 0.470 0.647
S 0.530 0.470 0.853
S 0.730 0.270 0.078
S 0.730 0.270 0.422
S 0.846 0.154 0.750

SG   Cmcm (63)

Run x
VASP calculation (PBE-GGA) on a geometry-optimized CsNd4S6 structure.

Lattice parameters (Å, degrees): 7.475 7.475 7.475 116.21 116.21 96.70
Positions (direct):
Cs 0.000 0.000 0.000
Nd 0.199 0.199 0.614
Nd 0.414 0.801 0.000
Nd 0.586 0.586 0.386
Nd 0.801 0.414 0.000
S 0.000 0.500 0.500
S 0.171 0.469 0.000
S 0.469 0.171 0.000
S 0.500 0.000 0.500
S 0.531 0.531 0.703
S 0.829 0.829 0.297

SG   I-42m (121)

run w ends up most stable, edging out the next structure by 282 meV per atom.